# Li2TiNiO4

A geometry-optimized Li2TiNiO4 structure (PBE with a Hubbard U, the Alexandria database).

POSCAR file:
```
Li2TiNiO4
1.0
-4.004 -3.729 2.260
3.399 -1.768 -4.513
1.783 -4.713 3.107
O Ti Li Ni
8 2 4 2
direct
0.507 0.765 0.227 O
0.978 0.230 0.748 O
0.993 0.765 0.742 O
0.522 0.774 0.748 O
0.478 0.226 0.252 O
0.022 0.770 0.252 O
0.493 0.235 0.773 O
0.007 0.235 0.258 O
0.500 0.000 0.000 Ti
0.000 0.000 0.500 Ti
0.000 0.500 0.500 Li
0.500 0.000 0.500 Li
0.000 0.500 0.000 Li
0.500 0.500 0.500 Li
0.500 0.500 0.000 Ni
0.000 0.000 0.000 Ni
```

Summary:
Crystal system   orthorhombic
Total magnetization   2.00 μB/f.u.
Final energy   -6.48 eV per atom